[1]
## ErGa6W (PBE-GGA)

Data for a geometry-optimized ErGa6W structure.

Unit cell a=5.826 b=5.826 c=5.826 alpha=108.00 beta=108.00 gamma=108.00
Atoms (fractional coordinates):
Er (0.000, 0.000, 0.000)
Ga (0.223, 0.223, 0.671)
Ga (0.223, 0.671, 0.223)
Ga (0.329, 0.777, 0.777)
Ga (0.671, 0.223, 0.223)
Ga (0.777, 0.329, 0.777)
Ga (0.777, 0.777, 0.329)
W (0.500, 0.500, 0.500)

## Properties
The value obtained for the energy relative to the elements is -0.015 eV/atom. Its space group is R-3m.

[2]
## HfSiI2O (PBE-GGA)

Data for a geometry-optimized HfSiI2O structure.

Unit cell a=5.692 b=5.692 c=3.482 alpha=90.00 beta=90.00 gamma=90.00
Atoms (fractional coordinates):
Hf (0.000, 0.000, 0.000)
Si (0.500, 0.500, 0.500)
I (0.000, 0.500, 0.500)
I (0.500, 0.000, 0.500)
O (0.500, 0.500, 0.000)

## Properties
As for the formation energy (no corrections): -0.067 eV per atom. The calculation puts the polymorph energy (0 for the lowest one) at 495 meV per atom. Its space group is P4/mmm.

[3]
## SiSb2F (PBE-GGA)

Data for a geometry-optimized SiSb2F structure.

Unit cell a=6.738 b=6.738 c=6.738 alpha=90.00 beta=90.00 gamma=90.00
Atoms (fractional coordinates):
Si (0.000, 0.000, 0.000)
Si (0.000, 0.500, 0.500)
Si (0.500, 0.000, 0.500)
Si (0.500, 0.500, 0.000)
Sb (0.250, 0.250, 0.250)
Sb (0.250, 0.250, 0.750)
Sb (0.250, 0.750, 0.250)
Sb (0.250, 0.750, 0.750)
Sb (0.750, 0.250, 0.250)
Sb (0.750, 0.250, 0.750)
Sb (0.750, 0.750, 0.250)
Sb (0.750, 0.750, 0.750)
F (0.000, 0.000, 0.500)
F (0.000, 0.500, 0.000)
F (0.500, 0.000, 0.000)
F (0.500, 0.500, 0.500)

## Properties
As for the formation energy (no corrections): -0.341 eV per atom. The calculation puts the polymorph energy (0 for the lowest one) at 0 meV per atom. Its space group is Fm-3m.

[4]
## NdCr2H8 (PBE-GGA)

Data for a geometry-optimized NdCr2H8 structure.

Unit cell a=4.564 b=4.538 c=4.538 alpha=121.63 beta=90.00 gamma=90.00
Atoms (fractional coordinates):
Nd (0.000, 0.000, 0.000)
Cr (0.500, 0.343, 0.690)
Cr (0.500, 0.690, 0.343)
H (0.231, 0.013, 0.477)
H (0.231, 0.477, 0.013)
H (0.259, 0.498, 0.498)
H (0.500, 0.025, 0.787)
H (0.500, 0.787, 0.025)
H (0.741, 0.498, 0.498)
H (0.769, 0.013, 0.477)
H (0.769, 0.477, 0.013)

## Properties
Its calculated total energy is -4.7945 eV/atom. Its space group is Amm2.

[5]
## BaSiP2Se8 (PBE-GGA)

Data for a geometry-optimized BaSiP2Se8 structure.

Unit cell a=6.299 b=6.299 c=9.315 alpha=90.00 beta=90.00 gamma=120.00
Atoms (fractional coordinates):
Ba (0.000, 0.000, 0.000)
Si (0.000, 0.000, 0.500)
P (0.333, 0.667, 0.727)
P (0.667, 0.333, 0.273)
Se (0.006, 0.702, 0.327)
Se (0.298, 0.304, 0.327)
Se (0.304, 0.006, 0.673)
Se (0.333, 0.667, 0.961)
Se (0.667, 0.333, 0.039)
Se (0.696, 0.994, 0.327)
Se (0.702, 0.696, 0.673)
Se (0.994, 0.298, 0.673)

## Properties
As for the formation energy (no corrections): -0.419 eV per atom. Its space group is P-3.

[6]
## Zn3Cu2Au8 (PBE-GGA)

Data for a geometry-optimized Zn3Cu2Au8 structure.

Unit cell a=7.236 b=4.575 c=7.273 alpha=90.00 beta=102.24 gamma=90.00
Atoms (fractional coordinates):
Zn (0.000, 0.000, 0.000)
Zn (0.255, 0.500, 0.255)
Zn (0.745, 0.500, 0.745)
Cu (0.246, 0.000, 0.754)
Cu (0.754, 0.000, 0.246)
Au (0.130, 0.500, 0.873)
Au (0.133, 0.000, 0.385)
Au (0.373, 0.500, 0.626)
Au (0.385, 0.000, 0.132)
Au (0.615, 0.000, 0.868)
Au (0.627, 0.500, 0.374)
Au (0.867, 0.000, 0.615)
Au (0.870, 0.500, 0.127)

## Properties
The calculation puts the polymorph energy (0 for the lowest one) at 0 meV per atom. The value obtained for the energy relative to the elements is -0.052 eV/atom. Its space group is P2/m.

[7]
## LiCePN3 (PBE-GGA)

Data for a geometry-optimized LiCePN3 structure.

Unit cell a=6.644 b=6.644 c=6.252 alpha=117.75 beta=117.75 gamma=54.05
Atoms (fractional coordinates):
Li (0.241, 0.759, 0.000)
Li (0.759, 0.241, 0.000)
Ce (0.271, 0.271, 0.195)
Ce (0.729, 0.729, 0.805)
P (0.018, 0.018, 0.692)
P (0.982, 0.982, 0.308)
N (0.109, 0.671, 0.162)
N (0.120, 0.120, 0.311)
N (0.329, 0.891, 0.838)
N (0.671, 0.109, 0.162)
N (0.880, 0.880, 0.689)
N (0.891, 0.329, 0.838)

## Properties
As for the formation energy (no corrections): -0.844 eV per atom. Its space group is C2/m.

[8]
## Mg2Pb2Cl (PBE-GGA)

Data for a geometry-optimized Mg2Pb2Cl structure.

Unit cell a=7.439 b=7.439 c=4.791 alpha=90.00 beta=90.00 gamma=90.00
Atoms (fractional coordinates):
Mg (0.154, 0.346, 0.000)
Mg (0.346, 0.846, 0.000)
Mg (0.654, 0.154, 0.000)
Mg (0.846, 0.654, 0.000)
Pb (0.151, 0.651, 0.500)
Pb (0.349, 0.151, 0.500)
Pb (0.651, 0.849, 0.500)
Pb (0.849, 0.349, 0.500)
Cl (0.000, 0.000, 0.000)
Cl (0.500, 0.500, 0.000)

## Properties
As for the formation energy (no corrections): -0.249 eV per atom. The calculation puts the polymorph energy (0 for the lowest one) at 0 meV per atom. Its space group is P4/mbm.

[9]
## Sm6As2P3I (PBE-GGA)

Data for a geometry-optimized Sm6As2P3I structure.

Unit cell a=9.401 b=9.401 c=8.483 alpha=103.43 beta=103.43 gamma=25.64
Atoms (fractional coordinates):
Sm (0.001, 0.001, 0.217)
Sm (0.322, 0.322, 0.414)
Sm (0.334, 0.334, 0.914)
Sm (0.666, 0.666, 0.086)
Sm (0.678, 0.678, 0.586)
Sm (0.999, 0.999, 0.783)
As (0.166, 0.166, 0.830)
As (0.834, 0.834, 0.170)
P (0.163, 0.163, 0.334)
P (0.500, 0.500, 0.000)
P (0.837, 0.837, 0.666)
I (0.500, 0.500, 0.500)

## Properties
As for the formation energy (no corrections): -1.486 eV per atom. Its space group is C2/m.

[10]
## HoTmCdOs (PBE-GGA)

Data for a geometry-optimized HoTmCdOs structure.

Unit cell a=3.421 b=3.421 c=7.706 alpha=90.00 beta=90.00 gamma=90.00
Atoms (fractional coordinates):
Ho (0.000, 0.000, 0.000)
Tm (0.000, 0.000, 0.575)
Cd (0.500, 0.500, 0.291)
Os (0.500, 0.500, 0.785)

## Properties
The calculation puts the polymorph energy (0 for the lowest one) at 0 meV per atom. The value obtained for the energy relative to the elements is -0.349 eV/atom. Its space group is P4mm.

[11]
## Hf2CuN2 (PBE-GGA)

Data for a geometry-optimized Hf2CuN2 structure.

Unit cell a=6.553 b=6.553 c=2.902 alpha=90.00 beta=90.00 gamma=90.00
Atoms (fractional coordinates):
Hf (0.155, 0.345, 0.000)
Hf (0.345, 0.845, 0.000)
Hf (0.655, 0.155, 0.000)
Hf (0.845, 0.655, 0.000)
Cu (0.000, 0.000, 0.000)
Cu (0.500, 0.500, 0.000)
N (0.142, 0.642, 0.500)
N (0.358, 0.142, 0.500)
N (0.642, 0.858, 0.500)
N (0.858, 0.358, 0.500)

## Properties
As for the formation energy (no corrections): -0.363 eV per atom. The calculation puts the polymorph energy (0 for the lowest one) at 611 meV per atom. Its space group is P4/mbm.

[12]
## LiPmCdSn (PBE-GGA)

Data for a geometry-optimized LiPmCdSn structure.

Unit cell a=4.342 b=4.632 c=4.942 alpha=90.00 beta=90.00 gamma=90.00
Atoms (fractional coordinates):
Li (0.000, 0.000, 0.000)
Pm (0.000, 0.500, 0.500)
Cd (0.500, 0.500, 0.000)
Sn (0.500, 0.000, 0.500)

## Properties
The calculation puts the polymorph energy (0 for the lowest one) at 9 meV per atom. The value obtained for the energy relative to the elements is -0.448 eV/atom. Its space group is Pmmm.